1.
Computed, not measured: crystalline Ce6InBi5 at its relaxed geometry at the GGA-PBE level of DFT.

The structure in CIF format:
```
data_Ce6InBi5
_cell_length_a 7.9264
_cell_length_b 7.9371
_cell_length_c 7.9427
_cell_angle_alpha 60.02
_cell_angle_beta 80.37
_cell_angle_gamma 70.43
_symmetry_space_group_name_H-M 'P 1'
_symmetry_Int_Tables_number 1
_symmetry_space_group_name_Hall 'P 1'
loop_
_atom_site_label
_atom_site_type_symbol
_atom_site_fract_x
_atom_site_fract_y
_atom_site_fract_z
Bi1 Bi 0.5000 0.1687 0.6626
Bi2 Bi 0.5000 0.5000 0.0000
Bi3 Bi 0.0000 0.6661 0.6678
In1 In 0.0000 0.0000 0.0000
Ce1 Ce 0.2476 0.9177 0.6677
Ce2 Ce 0.7524 0.4146 0.6677
Ce3 Ce 0.2504 0.2487 0.0000
Ce4 Ce 0.2476 0.5854 0.3323
Ce5 Ce 0.7496 0.7513 0.0000
Bi4 Bi 0.5000 0.8313 0.3374
Ce6 Ce 0.7524 0.0823 0.3323
Bi5 Bi 0.0000 0.3339 0.3322
```

- Total energy: -65.497 eV per formula unit
- Size of the total moment: 0.36 μB/atom
- Symmetry: C2/m, No. 12
- Formation energy: -0.65 eV per atom

2.
Computed, not measured: crystalline La3Ga4Pt7 at its relaxed geometry at the GGA-PBE level of DFT.

The structure in CIF format:
```
data_La3Ga4Pt7
_cell_length_a 4.2988
_cell_length_b 8.5038
_cell_length_c 8.4837
_cell_angle_alpha 68.56
_cell_angle_beta 75.32
_cell_angle_gamma 75.36
_symmetry_space_group_name_H-M 'P 1'
_symmetry_Int_Tables_number 1
_symmetry_space_group_name_Hall 'P 1'
loop_
_atom_site_label
_atom_site_type_symbol
_atom_site_fract_x
_atom_site_fract_y
_atom_site_fract_z
Pt1 Pt 0.6920 0.1867 0.4294
Pt2 Pt 0.4875 0.7815 0.2435
La1 La 0.0000 0.5000 0.5000
Ga1 Ga 0.1297 0.0980 0.6427
La2 La 0.3291 0.1815 0.1604
Pt3 Pt 0.8748 0.3610 0.8893
Pt4 Pt 0.1252 0.6390 0.1107
Ga2 Ga 0.3197 0.5334 0.8272
Pt5 Pt 0.0000 0.0000 0.0000
Ga3 Ga 0.8703 0.9020 0.3573
Pt6 Pt 0.5125 0.2185 0.7565
La3 La 0.6709 0.8185 0.8396
Ga4 Ga 0.6803 0.4666 0.1728
Pt7 Pt 0.3080 0.8133 0.5706
```

- Total energy: -83.123 eV per formula unit
- Size of the total moment: 0.00 μB/atom
- Symmetry: C2/m, No. 12
- Formation energy: -1.00 eV per atom

3.
Computed, not measured: crystalline RbBa3Hf at its relaxed geometry at the GGA-PBE level of DFT.

The structure in CIF format:
```
data_RbBa3Hf
_cell_length_a 6.3520
_cell_length_b 6.3520
_cell_length_c 6.3520
_cell_angle_alpha 90.00
_cell_angle_beta 90.00
_cell_angle_gamma 90.00
_symmetry_space_group_name_H-M 'P 1'
_symmetry_Int_Tables_number 1
_symmetry_space_group_name_Hall 'P 1'
loop_
_atom_site_label
_atom_site_type_symbol
_atom_site_fract_x
_atom_site_fract_y
_atom_site_fract_z
Hf1 Hf 0.5000 0.5000 0.5000
Ba1 Ba 0.0000 0.0000 0.5000
Rb1 Rb 0.0000 0.0000 0.0000
Ba2 Ba 0.0000 0.5000 0.0000
Ba3 Ba 0.5000 0.0000 0.0000
```

- Total energy: -9.750 eV per formula unit
- Size of the total moment: 0.28 μB/atom
- Symmetry: Pm-3m, No. 221
- Formation energy: 1.39 eV per atom

4.
Computed, not measured: crystalline Tm2Tl3ZnTe6 at its relaxed geometry at the GGA-PBE level of DFT.

The structure in CIF format:
```
data_Tm2Tl3ZnTe6
_cell_length_a 7.5831
_cell_length_b 7.5831
_cell_length_c 8.3130
_cell_angle_alpha 98.87
_cell_angle_beta 98.87
_cell_angle_gamma 120.06
_symmetry_space_group_name_H-M 'P 1'
_symmetry_Int_Tables_number 1
_symmetry_space_group_name_Hall 'P 1'
loop_
_atom_site_label
_atom_site_type_symbol
_atom_site_fract_x
_atom_site_fract_y
_atom_site_fract_z
Te1 Te 0.9330 0.6122 0.7949
Zn1 Zn 0.0000 0.0000 0.0000
Tl1 Tl 0.5000 0.5000 0.5000
Te2 Te 0.0670 0.3878 0.2051
Te3 Te 0.6122 0.9330 0.7949
Te4 Te 0.7470 0.7470 0.2147
Tl2 Tl 0.8248 0.1752 0.5000
Tm1 Tm 0.3357 0.6643 0.0000
Tm2 Tm 0.6643 0.3357 0.0000
Te5 Te 0.2530 0.2530 0.7853
Tl3 Tl 0.1752 0.8248 0.5000
Te6 Te 0.3878 0.0670 0.2051
```

- Formation energy from raw total energies: -0.71 eV/atom
- Total energy: -44.702 eV per formula unit
- Size of the total moment: 0.00 μB/atom
- Symmetry: C2/m, No. 12